## PrBeO3 (PBE)

Data for crystalline PrBeO3 at its relaxed geometry.

Total magnetization ... 1.0 μB/cell
VASP energy ... -7.112 eV per atom

Lattice parameters (Å, degrees): 3.638 3.638 3.638 90.00 90.00 90.00
Fractional coordinates of all 5 atoms:
Pr1 0.000 0.000 0.000
Be1 0.500 0.500 0.500
O1 0.000 0.500 0.500
O2 0.500 0.000 0.500
O3 0.500 0.500 0.000

=====

## PrNbAs (PBE)

Data for crystalline PrNbAs at its relaxed geometry.

Total magnetization ... 0.4 μB/cell
VASP energy ... -6.678 eV per atom

Lattice parameters (Å, degrees): 4.706 4.706 4.706 60.00 60.00 60.00
Fractional coordinates of all 3 atoms:
Pr1 0.000 0.000 0.000
Nb1 0.500 0.500 0.500
As1 0.750 0.750 0.750

=====

## GdHoCo2I2 (PBE)

Data for crystalline GdHoCo2I2 at its relaxed geometry.

Total magnetization ... 0.4 μB/cell
VASP energy ... -5.214 eV per atom

Lattice parameters (Å, degrees): 3.979 3.979 12.284 90.00 90.00 120.00
Fractional coordinates of all 6 atoms:
Gd1 0.000 0.000 0.000
Ho1 0.000 0.000 0.703
Co1 0.333 0.667 0.846
Co2 0.667 0.333 0.852
I1 0.333 0.667 0.177
I2 0.667 0.333 0.528